1.
{"formula": "PrGa2Pt5", "functional": "GGA-PBE", "state": "relaxed", "formation_enthalpy_0k_ev_per_atom": -0.77, "cell": [[-2.2937, 1.2050, 2.9869], [-6.0728, -1.9056, -1.2775], [-1.6985, -5.2442, 3.4287]], "species": ["Pt", "Pt", "Pt", "Pt", "Pt", "Ga", "Ga", "Pr"], "frac_coords": [[0.0000, 0.5000, 0.5000], [0.3579, 0.4449, 0.8393], [0.3579, 0.8393, 0.4449], [0.6421, 0.5551, 0.1607], [0.6421, 0.1607, 0.5551], [0.7520, 0.7480, 0.7480], [0.2480, 0.2520, 0.2520], [0.0000, 0.0000, 0.0000]]}



2.
{"formula": "Pr3Ga5Pt6", "functional": "GGA-PBE", "state": "relaxed", "formation_enthalpy_0k_ev_per_atom": -0.92, "cell": [[4.2421, 0.0000, 0.0000], [0.0000, 10.0834, 0.0000], [0.0000, 0.0000, 12.9333]], "species": ["Pt", "Pt", "Pt", "Pt", "Pt", "Pt", "Pt", "Pt", "Pt", "Pt", "Pt", "Pt", "Ga", "Ga", "Ga", "Ga", "Ga", "Ga", "Ga", "Ga", "Ga", "Ga", "Pr", "Pr", "Pr", "Pr", "Pr", "Pr"], "frac_coords": [[0.5000, 0.9944, 0.6679], [0.0000, 0.5023, 0.5000], [0.5000, 0.3955, 0.2005], [0.0000, 0.0056, 0.1679], [0.0000, 0.6045, 0.2995], [0.5000, 0.9944, 0.3321], [0.0000, 0.6045, 0.7005], [0.5000, 0.0106, 0.0000], [0.5000, 0.4977, 0.0000], [0.0000, 0.0056, 0.8321], [0.5000, 0.3955, 0.7995], [0.0000, 0.9894, 0.5000], [0.5000, 0.4813, 0.3824], [0.0000, 0.5187, 0.8824], [0.5000, 0.1466, 0.8304], [0.5000, 0.1466, 0.1696], [0.0000, 0.5187, 0.1176], [0.5000, 0.4813, 0.6176], [0.5000, 0.1340, 0.5000], [0.0000, 0.8534, 0.3304], [0.0000, 0.8534, 0.6696], [0.0000, 0.8660, 0.0000], [0.0000, 0.2511, 0.6650], [0.5000, 0.7489, 0.8350], [0.5000, 0.7485, 0.5000], [0.0000, 0.2511, 0.3350], [0.0000, 0.2515, 0.0000], [0.5000, 0.7489, 0.1650]]}



3.
{"formula": "PrGaPt2", "functional": "GGA-PBE", "state": "relaxed", "formation_enthalpy_0k_ev_per_atom": -0.73, "cell": [[3.4245, 0.0000, 0.0000], [0.0000, 3.4245, 0.0000], [0.0000, 0.0000, 6.7063]], "species": ["Ga", "Pt", "Pt", "Pr"], "frac_coords": [[0.5000, 0.5000, 0.0000], [0.0000, 0.0000, 0.2058], [0.0000, 0.0000, 0.7942], [0.5000, 0.5000, 0.5000]]}



4.
{"formula": "PrGaPt4", "functional": "GGA-PBE", "state": "relaxed", "e_above_lowest_polymorph_mev_per_atom": 30, "formation_enthalpy_0k_ev_per_atom": -0.76, "cell": [[-3.6462, -1.5094, 3.7247], [1.5761, -2.8487, 4.3414], [0.0149, 2.3175, 4.9067]], "species": ["Pr", "Pt", "Pt", "Pt", "Pt", "Ga"], "frac_coords": [[0.2500, 0.2500, 0.2500], [0.1227, 0.6258, 0.6258], [0.6258, 0.6258, 0.1227], [0.6258, 0.1227, 0.6258], [0.6258, 0.6258, 0.6258], [0.0000, 0.0000, 0.0000]]}



5.
{"formula": "Pr2Ga2Pt15", "functional": "GGA-PBE", "state": "relaxed", "formation_enthalpy_0k_ev_per_atom": -0.51, "cell": [[7.0225, -0.0667, -0.0594], [0.8450, 6.9718, -0.0594], [0.8450, 0.7416, 6.9325]], "species": ["Pt", "Pt", "Pt", "Pt", "Pt", "Pt", "Pt", "Pt", "Pt", "Pt", "Pt", "Pt", "Pt", "Pt", "Pt", "Ga", "Ga", "Pr", "Pr"], "frac_coords": [[0.0000, 0.6817, 0.3183], [0.3183, 0.0000, 0.6817], [0.3396, 0.8384, 0.3396], [0.6604, 0.6604, 0.1616], [0.5000, 0.0000, 0.0000], [0.0000, 0.0000, 0.5000], [0.3183, 0.6817, 0.0000], [0.8384, 0.3396, 0.3396], [0.1616, 0.6604, 0.6604], [0.0000, 0.5000, 0.0000], [0.6817, 0.0000, 0.3183], [0.6604, 0.1616, 0.6604], [0.0000, 0.3183, 0.6817], [0.3396, 0.3396, 0.8384], [0.6817, 0.3183, 0.0000], [0.1000, 0.1000, 0.1000], [0.9000, 0.9000, 0.9000], [0.6528, 0.6528, 0.6528], [0.3472, 0.3472, 0.3472]]}



6.
{"formula": "PrGa2Pt3", "functional": "GGA-PBE", "state": "relaxed", "formation_enthalpy_0k_ev_per_atom": -0.75, "cell": [[5.5831, 0.0000, 0.0000], [0.0000, 6.7513, -0.7763], [0.0000, -1.4194, 6.6459]], "species": ["Pt", "Pt", "Pt", "Pt", "Pt", "Pt", "Ga", "Ga", "Ga", "Ga", "Pr", "Pr"], "frac_coords": [[0.2500, 0.5248, 0.8477], [0.2500, 0.1369, 0.8631], [0.7500, 0.8631, 0.1369], [0.2500, 0.1523, 0.4752], [0.7500, 0.4752, 0.1523], [0.7500, 0.8477, 0.5248], [0.0000, 0.8152, 0.8152], [0.0000, 0.1848, 0.1848], [0.5000, 0.1848, 0.1848], [0.5000, 0.8152, 0.8152], [0.7500, 0.3185, 0.6815], [0.2500, 0.6815, 0.3185]]}



7.
{"formula": "PrGaPt4", "functional": "GGA-PBE", "state": "relaxed", "e_above_lowest_polymorph_mev_per_atom": 0, "formation_enthalpy_0k_ev_per_atom": -0.79, "cell": [[4.0004, 0.0000, 0.0000], [0.0000, 6.8840, 0.0000], [-2.0002, 0.0000, 7.9635]], "species": ["Pt", "Pt", "Pt", "Pt", "Pt", "Pt", "Pt", "Pt", "Pr", "Pr", "Ga", "Ga"], "frac_coords": [[0.0787, 0.7500, 0.1575], [0.3227, 0.0488, 0.6455], [0.9213, 0.2500, 0.8425], [0.3227, 0.4512, 0.6455], [0.6773, 0.9512, 0.3545], [0.5000, 0.5000, 0.0000], [0.6773, 0.5488, 0.3545], [0.5000, 0.0000, 0.0000], [0.8972, 0.7500, 0.7945], [0.1028, 0.2500, 0.2055], [0.7631, 0.2500, 0.5262], [0.2369, 0.7500, 0.4738]]}



8.
{"formula": "PrGaPt2", "functional": "GGA-PBE", "state": "relaxed", "formation_enthalpy_0k_ev_per_atom": -0.97, "cell": [[4.4637, 0.0000, 0.0000], [0.0000, 6.9652, 0.0000], [0.0000, 0.0000, 10.2809]], "species": ["Pr", "Pr", "Pr", "Pr", "Pt", "Pt", "Pt", "Pt", "Pt", "Pt", "Pt", "Pt", "Ga", "Ga", "Ga", "Ga"], "frac_coords": [[0.2500, 0.7735, 0.8369], [0.7500, 0.7265, 0.3369], [0.2500, 0.2735, 0.6631], [0.7500, 0.2265, 0.1631], [0.7500, 0.5680, 0.6492], [0.7500, 0.2334, 0.4598], [0.2500, 0.9320, 0.1492], [0.2500, 0.7666, 0.5402], [0.2500, 0.4320, 0.3508], [0.7500, 0.7334, 0.0402], [0.2500, 0.2666, 0.9598], [0.7500, 0.0680, 0.8508], [0.7500, 0.9393, 0.6180], [0.2500, 0.5607, 0.1180], [0.7500, 0.4393, 0.8820], [0.2500, 0.0607, 0.3820]]}



9.
{"formula": "Pr2Ga7Pt", "functional": "GGA-PBE", "state": "relaxed", "formation_enthalpy_0k_ev_per_atom": -0.60, "cell": [[4.3052, 0.0000, 0.0000], [0.0000, 4.3052, 0.0000], [0.0000, 0.0000, 10.7728]], "species": ["Ga", "Ga", "Ga", "Ga", "Ga", "Ga", "Ga", "Pt", "Pr", "Pr"], "frac_coords": [[0.0000, 0.5000, 0.8708], [0.5000, 0.0000, 0.3605], [0.0000, 0.5000, 0.6395], [0.0000, 0.0000, 0.0000], [0.5000, 0.0000, 0.1292], [0.5000, 0.5000, 0.5000], [0.0000, 0.0000, 0.5000], [0.5000, 0.5000, 0.0000], [0.5000, 0.0000, 0.7554], [0.0000, 0.5000, 0.2446]]}



10.
{"formula": "PrGa3Pt", "functional": "GGA-PBE", "state": "relaxed", "e_above_lowest_polymorph_mev_per_atom": 47, "formation_enthalpy_0k_ev_per_atom": -0.76, "cell": [[-3.7700, -1.4572, -1.5815], [1.6289, -7.6312, 3.1487], [-5.0184, 2.8003, 9.3829]], "species": ["Ga", "Ga", "Ga", "Ga", "Ga", "Ga", "Ga", "Ga", "Ga", "Ga", "Ga", "Ga", "Pr", "Pr", "Pr", "Pr", "Pt", "Pt", "Pt", "Pt"], "frac_coords": [[0.2500, 0.0659, 0.4112], [0.2500, 0.8578, 0.2177], [0.7500, 0.6166, 0.3157], [0.7500, 0.1166, 0.1843], [0.2500, 0.8834, 0.8157], [0.7500, 0.1422, 0.7823], [0.7500, 0.9341, 0.5888], [0.2500, 0.3834, 0.6843], [0.2500, 0.3578, 0.2823], [0.7500, 0.4341, 0.9112], [0.2500, 0.5659, 0.0888], [0.7500, 0.6422, 0.7177], [0.2500, 0.6959, 0.5211], [0.7500, 0.3041, 0.4789], [0.2500, 0.1959, 0.9789], [0.7500, 0.8041, 0.0211], [0.7500, 0.9132, 0.3500], [0.2500, 0.0868, 0.6500], [0.7500, 0.4132, 0.1500], [0.2500, 0.5868, 0.8500]]}



11.
{"formula": "PrGa2Pt6", "functional": "GGA-PBE", "state": "relaxed", "formation_enthalpy_0k_ev_per_atom": -0.41, "cell": [[-5.8422, 3.3675, -4.4237], [-4.3375, -4.5291, -5.0708], [-7.7318, -1.6073, 1.6360]], "species": ["Pt", "Pt", "Pt", "Pt", "Pt", "Pt", "Pt", "Pt", "Pt", "Pt", "Pt", "Pt", "Pr", "Pr", "Ga", "Ga", "Ga", "Ga"], "frac_coords": [[0.0009, 0.0009, 0.4991], [0.4991, 0.4991, 0.0009], [0.0009, 0.4991, 0.0009], [0.7509, 0.2491, 0.2491], [0.2491, 0.7509, 0.7509], [0.4991, 0.0009, 0.4991], [0.7509, 0.2491, 0.7509], [0.4991, 0.0009, 0.0009], [0.2491, 0.7509, 0.2491], [0.2491, 0.2491, 0.7509], [0.0009, 0.4991, 0.4991], [0.7509, 0.7509, 0.2491], [0.5000, 0.5000, 0.5000], [0.7500, 0.7500, 0.7500], [0.1250, 0.6250, 0.1250], [0.1250, 0.1250, 0.6250], [0.6250, 0.1250, 0.1250], [0.1250, 0.1250, 0.1250]]}



12.
{"formula": "Pr7Ga2Pt2", "functional": "GGA-PBE", "state": "relaxed", "formation_enthalpy_0k_ev_per_atom": -0.48, "cell": [[-4.9597, -2.3938, -4.3374], [5.0410, -3.4461, -3.8614], [0.7575, -4.6797, 5.1642]], "species": ["Ga", "Ga", "Pr", "Pr", "Pr", "Pr", "Pr", "Pr", "Pr", "Pt", "Pt"], "frac_coords": [[0.1580, 0.5000, 0.1580], [0.8420, 0.5000, 0.8420], [0.0000, 0.0000, 0.0000], [0.5000, 0.7381, 0.5000], [0.5000, 0.2619, 0.5000], [0.0000, 0.2658, 0.4999], [0.4999, 0.7342, 0.0000], [0.0000, 0.7342, 0.5001], [0.5001, 0.2658, 0.0000], [0.2916, 0.0000, 0.7084], [0.7084, 0.0000, 0.2916]]}